First-principles (GGA+U) data for a geometry-optimized BaTmMoO6 structure, as listed in the Alexandria database.

Unit cell a=5.5584 b=9.8615 c=5.6065 alpha=90.00 beta=91.12 gamma=90.00
With the nearest neighbours (Å) after each atom.
Space group C2 (No. 5)
Asymmetric unit:
Ba: 0.0000 0.0000 0.0000 [2 per cell]  6 O 2.74-2.75
Tm: 0.0000 0.3338 0.5000 [2 per cell]  6 O 2.18-2.23
Mo: 0.0000 0.6577 0.5000 [2 per cell]  6 O 1.90-2.02
O: 0.1197 0.5170 0.3030 [4 per cell]  1 Mo 1.90
O: 0.1642 0.7990 0.3006 [4 per cell]  1 Mo 2.02, 1 Tm 2.18
O: 0.2179 0.1866 0.2992 [4 per cell]  1 Mo 1.93

Output
Fermi-level density of states = 4.38 states/eV/f.u.
DFT total energy = -128.211 eV per cell
volume = 17.07 Å³/atom